! NdThSn, optimized geometry, DFT PBE; values from VASP
&SYSTEM
  ibrav = 0, nat = 3, ntyp = 3
/
ATOMIC_SPECIES
Nd 144.24 Nd.upf
Th 232.04 Th.upf
Sn 118.71 Sn.upf
CELL_PARAMETERS angstrom
0.000 3.727 3.727
3.727 0.000 3.727
3.727 3.727 0.000
ATOMIC_POSITIONS angstrom
Nd 0.000 0.000 0.000
Th 3.727 3.727 3.727
Sn 1.864 1.864 1.864
! symmetry	F-43m (216)
! uncorrected energy	-5.616	eV/atom